Compound: Ac2Sm4Bi3N2
Source: Alexandria via LeMat-Bulk
Functional: GGA-PBE
Structure: relaxed

Cell: 4.881 4.881 13.969 Å, 100.06 100.06 90.00°
Element x y z (fractional)
Ac (0.309, 0.309, 0.619)
Ac (0.691, 0.691, 0.381)
Sm (0.419, 0.919, 0.839)
Sm (0.919, 0.419, 0.839)
Sm (0.081, 0.581, 0.161)
Sm (0.581, 0.081, 0.161)
Bi (0.000, 0.000, 0.000)
Bi (0.173, 0.173, 0.347)
Bi (0.827, 0.827, 0.653)
N (0.401, 0.401, 0.802)
N (0.599, 0.599, 0.198)

## Properties
Formation energy (no corrections) in meV/atom: -1034
Symmetry: I4/mmm, No. 139

Compound: Ac4SnBiN
Source: Alexandria via LeMat-Bulk
Functional: GGA-PBE
Structure: relaxed

Cell: 7.239 7.193 9.934 Å, 90.00 111.37 90.00°
Each line ends with the local moment (μB).
Element x y z (fractional)
Ac (0.931, 0.250, 0.861)  0.12
Ac (0.416, 0.750, 0.831)  0.03
Ac (0.069, 0.750, 0.139)  0.12
Ac (0.584, 0.250, 0.169)  0.03
Ac (0.500, 0.500, 0.500)  0.06
Ac (0.000, 0.000, 0.500)  0.06
Ac (0.500, 0.000, 0.500)  0.06
Ac (0.000, 0.500, 0.500)  0.06
Sn (0.114, 0.250, 0.227)  -0.01
Sn (0.886, 0.750, 0.773)  -0.01
Bi (0.610, 0.750, 0.220)  -0.01
Bi (0.390, 0.250, 0.780)  -0.01
N (0.282, 0.750, 0.563)  0.00
N (0.718, 0.250, 0.437)  0.00

## Properties
Formation energy (no corrections) in meV/atom: -807
Symmetry: Cmcm, No. 63

Compound: Ac4BiTe2N2
Source: Alexandria via LeMat-Bulk
Functional: GGA-PBE
Structure: relaxed

Cell: 4.271 9.462 9.311 Å, 119.44 90.00 103.04°
Each line ends with the local moment (μB).
Element x y z (fractional)
Ac (0.776, 0.552, 0.863)  0.01
Ac (0.224, 0.448, 0.137)  0.01
Ac (0.464, 0.928, 0.255)  0.01
Ac (0.536, 0.072, 0.745)  0.01
Bi (0.000, 0.000, 0.000)  0.21
Te (0.880, 0.761, 0.438)  0.01
Te (0.120, 0.239, 0.562)  0.01
N (0.323, 0.647, 0.036)  0.03
N (0.677, 0.353, 0.964)  0.03

## Properties
Formation energy (no corrections) in meV/atom: -1264
Symmetry: C2/m, No. 12

Compound: Ac2ThBi2N2
Source: Alexandria via LeMat-Bulk
Functional: GGA-PBE
Structure: relaxed

Cell: 4.725 4.725 9.198 Å, 104.88 104.88 90.00°
Element x y z (fractional)
Ac (0.397, 0.397, 0.793)
Ac (0.603, 0.603, 0.207)
Th (0.000, 0.000, 0.000)
Bi (0.203, 0.203, 0.406)
Bi (0.797, 0.797, 0.594)
N (0.000, 0.500, 0.000)
N (0.500, 0.000, 0.000)

## Properties
Formation energy (no corrections) in meV/atom: -947
Symmetry: I4/mmm, No. 139

Question: Which of these has the highest formation energy (no corrections)?
Answer: Ac4SnBiN

Question: The highest formation energy (no corrections) belongs to which entry?
Answer: Ac4SnBiN

Question: Look up the formation energy (no corrections) of the second one.
Answer: -807 meV/atom

Question: The highest formation energy (no corrections) belongs to which entry?
Answer: Ac4SnBiN